LiScIr2: relaxed, PBE.

a = 7.022 Å, b = 7.022 Å, c = 5.161 Å
α = 90.00°, β = 90.00°, γ = 90.00°
Space group I-42d (No. 122)
Symmetry-distinct sites (fractional):
Li 0.000 0.000 0.000 (multiplicity 4)
Sc 0.000 0.000 0.500 (multiplicity 4)
Ir 0.219 0.250 0.125 (multiplicity 8)

Properties
Final energy, eV/atom: -6.555
Formation enthalpy at 0 K, kJ/mol of formula units: -24

---

AcRuN2: relaxed, PBE.

a = 3.5288 Å, b = 3.5288 Å, c = 15.3805 Å
α = 90.00°, β = 90.00°, γ = 120.00°
Space group R-3m (No. 166, hexagonal axes)
Symmetry-distinct sites (fractional):
Ac 0.0000 0.0000 0.0000 (multiplicity 3)
Ru 0.0000 0.0000 0.5000 (multiplicity 3)
N 0.0000 0.0000 0.2252 (multiplicity 6)

Properties
Final energy, eV/atom: -7.718
Formation energy without anion corrections, eV per atom: -0.209

---

LiGa2Bi: relaxed, PBE.

a = 8.306 Å, b = 8.306 Å, c = 5.523 Å
α = 90.00°, β = 90.00°, γ = 90.00°
Space group I-42d (No. 122)
Symmetry-distinct sites (fractional):
Li 0.000 0.000 0.000 (multiplicity 4)
Ga 0.241 0.250 0.625 (multiplicity 8)
Bi 0.000 0.000 0.500 (multiplicity 4)

Properties
Final energy, eV/atom: -2.967
Formation enthalpy at 0 K, kJ/mol of formula units: -2

---

Th8HgC6: relaxed, PBE.

a = 10.0965 Å, b = 10.0965 Å, c = 12.1551 Å
α = 90.00°, β = 90.00°, γ = 120.00°
Space group R-3 (No. 148, hexagonal axes)
Symmetry-distinct sites (fractional):
Th 0.0000 0.0000 0.2320 (multiplicity 6)
Th 0.0211 0.7265 0.0835 (multiplicity 18)
Hg 0.0000 0.0000 0.5000 (multiplicity 3)
C 0.0077 0.8087 0.8843 (multiplicity 18)

Properties
Final energy, eV/atom: -7.713
Formation enthalpy at 0 K, kJ/mol of formula units: -66

---

Copy entry 4 word for word.
Th8HgC6: relaxed, PBE.

a = 10.0965 Å, b = 10.0965 Å, c = 12.1551 Å
α = 90.00°, β = 90.00°, γ = 120.00°
Space group R-3 (No. 148, hexagonal axes)
Symmetry-distinct sites (fractional):
Th 0.0000 0.0000 0.2320 (multiplicity 6)
Th 0.0211 0.7265 0.0835 (multiplicity 18)
Hg 0.0000 0.0000 0.5000 (multiplicity 3)
C 0.0077 0.8087 0.8843 (multiplicity 18)

Properties
Final energy, eV/atom: -7.713
Formation enthalpy at 0 K, kJ/mol of formula units: -66

---

> Among the records above, which one has the lowest final energy?

AcRuN2